Entry 1:
Here is NdHo3Au2 after structural relaxation from Alexandria via LeMat-Bulk. Energies are from PBE.

The space group is C2/m (No. 12) and the conventional cell measures 16.185, 5.192 and 8.528 Å, with angles of 90.00, 114.09 and 90.00 degrees. The asymmetric unit holds Nd at (0.135, 0.000, 0.202), Ho at (0.064, 0.000, 0.734), Ho at (0.127, 0.500, 0.508), Ho at (0.194, 0.500, 0.996), Au at (0.003, 0.500, 0.837) and Au at (0.217, 0.000, 0.628).

The value obtained for the formation energy is -0.50 eV/atom. For the total energy, the calculation gives -4.68 eV per atom. The calculation puts the distance to the lowest polymorph of the same formula at 0.121 eV per atom. The density of states at the Fermi level is 22.807 states/eV/cell. As for the crystal system: monoclinic.

Entry 2:
Here is Nd2HoAu4 after structural relaxation from Alexandria via LeMat-Bulk. Energies are from PBE.

The space group is I4/mmm (No. 139) and the conventional cell measures 5.272, 5.272 and 13.109 Å, with angles of 90.00, 90.00 and 90.00 degrees. The asymmetric unit holds Nd at (0.000, 0.000, 0.221), Ho at (0.000, 0.000, 0.500) and Au at (0.000, 0.500, 0.114).

The value obtained for the formation energy is -0.67 eV/atom. For the total energy, the calculation gives -4.56 eV per atom. The calculation puts the distance to the lowest polymorph of the same formula at 0.000 eV per atom. The density of states at the Fermi level is 11.237 states/eV/cell. As for the crystal system: tetragonal.

Entry 3:
Here is Nd3HoAu2 after structural relaxation from Alexandria via LeMat-Bulk. Energies are from PBE.

The space group is Pmc2_1 (No. 26) and the conventional cell measures 5.106, 9.296 and 7.192 Å, with angles of 90.00, 90.00 and 90.00 degrees. The asymmetric unit holds Nd at (0.000, 0.075, 0.000), Nd at (0.000, 0.337, 0.356), Nd at (0.500, 0.166, 0.659), Ho at (0.500, 0.426, 0.015), Au at (0.000, 0.350, 0.774) and Au at (0.500, 0.159, 0.240).

The value obtained for the formation energy is -0.56 eV/atom. For the total energy, the calculation gives -4.80 eV per atom. The density of states at the Fermi level is 12.404 states/eV/cell. As for the crystal system: orthorhombic.

Entry 4:
Here is Nd2Ho2Au3 after structural relaxation from Alexandria via LeMat-Bulk. Energies are from PBE.

The space group is I2_13 (No. 199) and the conventional cell measures 9.059, 9.059 and 9.059 Å, with angles of 90.00, 90.00 and 90.00 degrees. The asymmetric unit holds Nd at (0.177, 0.177, 0.177), Ho at (0.068, 0.432, 0.568) and Au at (0.000, 0.250, 0.860).

The value obtained for the formation energy is -0.64 eV/atom. For the total energy, the calculation gives -4.71 eV per atom. The density of states at the Fermi level is 34.334 states/eV/cell. As for the crystal system: cubic.

Entry 5:
Here is NdHo2Au after structural relaxation from Alexandria via LeMat-Bulk. Energies are from PBE.

The space group is R3m (No. 160, hexagonal axes) and the conventional cell measures 3.7700, 3.7700 and 29.4829 Å, with angles of 90.00, 90.00 and 120.00 degrees. The asymmetric unit holds Nd at (0.0000, 0.0000, 0.0000), Ho at (0.0000, 0.0000, 0.5659), Ho at (0.0000, 0.0000, 0.7647) and Au at (0.0000, 0.0000, 0.1646).

The value obtained for the formation energy is -0.30 eV/atom. For the total energy, the calculation gives -4.60 eV per atom. The calculation puts the distance to the lowest polymorph of the same formula at 0.117 eV per atom. The density of states at the Fermi level is 14.708 states/eV/cell. As for the crystal system: trigonal.

Entry 6:
Here is NdHo2Au after structural relaxation from Alexandria via LeMat-Bulk. Energies are from PBE.

The space group is P4/mmm (No. 123) and the conventional cell measures 3.627, 3.627 and 8.573 Å, with angles of 90.00, 90.00 and 90.00 degrees. The asymmetric unit holds Nd at (0.000, 0.000, 0.000), Ho at (0.500, 0.500, 0.299) and Au at (0.000, 0.000, 0.500).

The value obtained for the formation energy is -0.41 eV/atom. For the total energy, the calculation gives -4.71 eV per atom. The calculation puts the distance to the lowest polymorph of the same formula at 0.004 eV per atom. The density of states at the Fermi level is 5.615 states/eV/cell. As for the crystal system: tetragonal.

Entry 7:
Here is NdHoOsAu after structural relaxation from Alexandria via LeMat-Bulk. Energies are from PBE.

The space group is F-43m (No. 216) and the conventional cell measures 7.098, 7.098 and 7.098 Å, with angles of 90.00, 90.00 and 90.00 degrees. The asymmetric unit holds Nd at (0.000, 0.000, 0.000), Ho at (0.000, 0.000, 0.500), Os at (0.250, 0.250, 0.250) and Au at (0.250, 0.250, 0.750).

The value obtained for the formation energy is -0.38 eV/atom. For the total energy, the calculation gives -6.34 eV per atom. The density of states at the Fermi level is 12.213 states/eV/cell. As for the crystal system: cubic.

Entry 8:
Here is NdHoRhAu after structural relaxation from Alexandria via LeMat-Bulk. Energies are from PBE.

The space group is Amm2 (No. 38) and the conventional cell measures 4.638, 3.842 and 10.561 Å, with angles of 90.00, 90.00 and 90.00 degrees. The asymmetric unit holds Nd at (0.000, 0.000, 0.000), Ho at (0.500, 0.000, 0.719), Rh at (0.000, 0.000, 0.263) and Au at (0.500, 0.000, 0.436).

The value obtained for the formation energy is -0.80 eV/atom. For the total energy, the calculation gives -5.80 eV per atom. The calculation puts the distance to the lowest polymorph of the same formula at 0.000 eV per atom. The density of states at the Fermi level is 5.381 states/eV/cell. As for the crystal system: orthorhombic.

In Å³ per cell, the volume values for the records above are, in order, 654.2 364.4 341.4 743.4 362.9 112.8 357.6 188.2.